DFT (GGA-PBE) results for a relaxed ScCr2Rh crystal.

```
4
Lattice="2.756 0.000 0.000 0.000 4.486 0.000 -1.013 0.000 4.679" Properties=species:S:1:pos:R:3 pbc="T T T"
Sc 0.000 0.000 0.000
Cr 0.025 2.243 3.609
Cr 1.718 2.243 1.071
Rh 0.871 0.000 2.340
```

* excess energy over the best structure of this formula in the dataset: 256 meV/atom
* calculated volume: 57.8 Å³ per cell
* D(E_F): 4.21 states/eV/cell
* space group: P2/m (10)

DFT (GGA-PBE) results for a relaxed FeNiN2 crystal.

```
4
Lattice="1.406 0.812 5.693 -1.406 0.812 5.693 0.000 -1.623 5.693" Properties=species:S:1:pos:R:3 pbc="T T T"
Fe 0.000 0.000 0.000
Ni 0.000 0.000 8.540
N 0.000 0.000 1.789
N 0.000 0.000 15.291
```

* E_form (uncorrected): 0.591 eV/atom
* excess energy over the best structure of this formula in the dataset: 506 meV/atom
* calculated volume: 39.0 Å³ per cell
* D(E_F): 3.43 states/eV/cell
* space group: R-3m (166)

DFT (GGA-PBE) results for a relaxed Pt4Rh5 crystal.

```
9
Lattice="-1.947 4.137 4.142 1.947 -4.137 4.142 1.947 4.137 -4.142" Properties=species:S:1:pos:R:3 pbc="T T T"
Pt 0.000 6.893 1.382
Pt 1.947 -2.757 2.760
Pt 0.000 1.380 1.382
Pt 1.947 2.757 2.760
Rh 1.947 0.000 0.000
Rh 1.947 2.785 0.000
Rh 1.947 0.000 2.792
Rh 0.000 4.137 1.350
Rh 0.000 1.352 4.142
```

* excess energy over the best structure of this formula in the dataset: 0 meV/atom
* calculated volume: 133.4 Å³ per cell
* D(E_F): 15.84 states/eV/cell
* space group: Immm (71)

DFT (GGA-PBE) results for a relaxed Rb2TlW crystal.

```
4
Lattice="0.000 4.329 4.329 4.329 0.000 4.329 4.329 4.329 0.000" Properties=species:S:1:pos:R:3 pbc="T T T"
Rb 2.165 2.165 2.165
Rb 6.494 6.494 6.494
Tl 0.000 0.000 0.000
W 4.329 4.329 4.329
```

* excess energy over the best structure of this formula in the dataset: 0 meV/atom
* calculated volume: 162.3 Å³ per cell
* D(E_F): 3.93 states/eV/cell
* space group: Fm-3m (225)

DFT (GGA-PBE) results for a relaxed Ca2PuPbO6 crystal.

```
10
Lattice="2.961 1.709 5.238 -2.961 1.709 5.238 0.000 -3.419 5.238" Properties=species:S:1:pos:R:3 pbc="T T T"
Ca 0.000 0.000 0.000
Ca 0.000 0.000 7.632
Pu 0.000 0.000 10.923
Pb 0.000 0.000 3.359
O -1.154 -1.838 6.724
O -1.615 -0.035 9.585
O -1.015 1.919 6.724
O 0.837 -1.381 9.585
O 2.169 -0.081 6.724
O 0.777 1.416 9.585
```

* E_form (uncorrected): -2.480 eV/atom
* calculated volume: 159.1 Å³ per cell
* D(E_F): 7.48 states/eV/cell
* space group: R3 (146)

DFT (GGA-PBE) results for a relaxed BeHgRu crystal.

```
3
Lattice="2.871 0.000 0.000 -1.436 2.487 0.000 0.000 0.000 6.364" Properties=species:S:1:pos:R:3 pbc="T T T"
Be 0.000 0.000 0.000
Hg 1.436 0.829 2.265
Ru 0.000 1.658 4.747
```

* excess energy over the best structure of this formula in the dataset: 180 meV/atom
* calculated volume: 45.4 Å³ per cell
* D(E_F): 2.60 states/eV/cell
* space group: P3m1 (156)

DFT (GGA-PBE) results for a relaxed Tl4HgAu2Se crystal.

```
8
Lattice="7.223 0.000 0.000 0.000 4.385 0.000 -2.744 0.000 7.325" Properties=species:S:1:pos:R:3 pbc="T T T"
Tl 0.947 0.000 1.870
Tl -0.316 2.192 5.337
Tl 4.794 2.192 1.988
Tl 3.532 0.000 5.454
Hg 3.611 0.000 0.000
Au -1.372 0.000 3.662
Au 0.000 2.192 0.000
Se 2.239 2.192 3.662
```

* E_form (uncorrected): -0.079 eV/atom
* calculated volume: 232.0 Å³ per cell
* D(E_F): 2.50 states/eV/cell
* space group: P2/m (10)

DFT (GGA-PBE) results for a relaxed SmHo5Mg4 crystal.

```
10
Lattice="3.739 0.000 0.000 0.000 3.739 0.000 0.000 0.000 20.090" Properties=species:S:1:pos:R:3 pbc="T T T"
Sm 0.000 0.000 0.000
Ho 1.870 1.870 2.432
Ho 1.870 1.870 6.250
Ho 1.870 1.870 10.045
Ho 1.870 1.870 13.841
Ho 1.870 1.870 17.658
Mg 0.000 0.000 4.354
Mg 0.000 0.000 8.138
Mg 0.000 0.000 11.953
Mg 0.000 0.000 15.736
```

* final energy: -3.448 eV/atom
* calculated volume: 280.9 Å³ per cell
* D(E_F): 13.94 states/eV/cell
* space group: P4/mmm (123)

DFT (GGA-PBE) results for a relaxed La8Co3HBr4 crystal.

```
16
Lattice="7.177 -3.957 0.000 7.177 3.957 0.000 -4.660 0.000 7.859" Properties=species:S:1:pos:R:3 pbc="T T T"
La 3.736 1.994 5.435
La 0.151 0.000 5.429
La 2.307 0.000 2.414
La 5.959 1.994 2.424
La 3.736 -1.994 5.435
La 7.387 0.000 5.445
La 9.544 0.000 2.430
La 5.959 -1.994 2.424
Co -2.330 0.000 3.929
Co 1.258 1.978 3.929
Co 1.258 -1.978 3.929
H 4.847 0.000 3.929
Br 0.000 0.000 0.000
Br 3.589 1.978 0.000
Br 3.589 -1.978 0.000
Br 7.177 0.000 0.000
```

* final energy: -5.249 eV/atom
* calculated volume: 446.3 Å³ per cell
* D(E_F): 9.47 states/eV/cell
* space group: C2/m (12)

DFT (GGA-PBE) results for a relaxed AcPd2Pt crystal.

```
8
Lattice="2.082 -9.978 0.000 2.082 9.978 0.000 0.000 0.000 4.330" Properties=species:S:1:pos:R:3 pbc="T T T"
Ac 2.082 7.716 3.248
Ac 2.082 -7.716 1.083
Pd 2.082 4.934 1.083
Pd 2.082 0.669 3.248
Pd 2.082 -0.669 1.083
Pd 2.082 -4.934 3.248
Pt 2.082 3.248 3.248
Pt 2.082 -3.248 1.083
```

* excess energy over the best structure of this formula in the dataset: 53 meV/atom
* calculated volume: 179.9 Å³ per cell
* D(E_F): 5.34 states/eV/cell
* space group: Cmcm (63)

DFT (GGA-PBE) results for a relaxed Nd6AlRh2 crystal.

```
18
Lattice="-4.805 4.939 5.341 4.805 -4.939 5.341 4.805 4.939 -5.341" Properties=species:S:1:pos:R:3 pbc="T T T"
Nd 4.805 3.014 -2.806
Nd 2.771 1.761 0.000
Nd 6.839 1.761 0.000
Nd 1.852 4.939 -1.811
Nd 2.953 0.000 3.529
Nd 0.000 1.925 2.535
Nd 4.805 3.014 2.806
Nd 1.852 4.939 1.811
Nd 2.953 0.000 7.152
Nd -2.034 3.177 5.341
Nd 2.034 3.177 5.341
Nd 0.000 1.925 8.147
Al 0.000 0.000 0.000
Al 0.000 0.000 5.341
Rh 4.805 0.000 1.427
Rh 0.000 3.199 0.000
Rh 0.000 6.678 0.000
Rh 0.000 4.939 3.914
```

* final energy: -5.670 eV/atom
* calculated volume: 507.0 Å³ per cell
* D(E_F): 15.09 states/eV/cell
* space group: Immm (71)

> Among the records above, which one has the lowest calculated volume?

FeNiN2

> Which value of D(E_F) does entry 11 give?

15.09 states/eV/cell